A plane-wave DFT calculation with PBE was carried out for an optimized crystal structure of Ba2ZrO.

a = 7.7874 Å, b = 7.7874 Å, c = 9.4647 Å
α = 90.00°, β = 90.00°, γ = 90.00°
Closest atoms and distances in Å follow each position.
Space group I-42d (No. 122)
One atom of each set of equivalent atoms:
1 Ba 0.1341 0.2500 0.1250 [8 per cell]  2 O 2.51
2 Zr 0.0000 0.0000 0.5000 [4 per cell]  4 Ba 3.65
3 O 0.0000 0.0000 0.0000 [4 per cell]  4 Ba 2.51

Properties
- energy relative to the elements, uncorrected (meV per atom) = -366

---

A plane-wave DFT calculation with PBE was carried out for an optimized crystal structure of Ti2BeZnFe.

a = 4.3267 Å, b = 4.3267 Å, c = 3.9335 Å
α = 90.00°, β = 90.00°, γ = 90.00°
Closest atoms and distances in Å follow each position.
Space group P4/mmm (No. 123)
One atom of each set of equivalent atoms:
1 Ti 0.0000 0.5000 0.0000 [2 per cell]  2 Be 2.16
2 Be 0.0000 0.0000 0.0000 [1 per cell]  2 Zn 1.97, 4 Ti 2.16
3 Zn 0.0000 0.0000 0.5000 [1 per cell]  2 Be 1.97
4 Fe 0.5000 0.5000 0.5000 [1 per cell]  8 Ti 2.92, 4 Zn 3.06

Properties
- DFT formation energy (meV per atom) = 623

---

A plane-wave DFT calculation with PBE was carried out for an optimized crystal structure of AcCeGaO5.

a = 7.1691 Å, b = 9.9389 Å, c = 7.7522 Å
α = 90.00°, β = 110.96°, γ = 90.00°
Closest atoms and distances in Å follow each position.
Space group C2/c (No. 15)
One atom of each set of equivalent atoms:
1 Ac 0.0000 0.1603 0.2500 [4 per cell]  5 O 2.44-2.61
2 Ce 0.0000 0.5000 0.0000 [4 per cell]  6 O 2.15-2.32
3 Ga 0.0000 0.1802 0.7500 [4 per cell]  4 O 1.88-1.89
4 O 0.0000 0.4055 0.2500 [4 per cell]  2 Ce 2.15
5 O 0.1175 0.2893 0.6195 [8 per cell]  1 Ga 1.88
6 O 0.1712 0.0576 0.9199 [8 per cell]  1 Ga 1.89

Properties
- energy relative to the elements, uncorrected (meV per atom) = -2901

---

Number 1: theoretical density 4.4 g/cm3, Fermi-level density of states 23.38 states/eV per cell. Number 2: theoretical density 5.1 g/cm3, Fermi-level density of states 7.83 states/eV per cell. Number 3: theoretical density 6.7 g/cm3, Fermi-level density of states 0.00 states/eV per cell.